(1)
The following is a DFT calculation (PBE-GGA) of crystalline NaGePt at its relaxed geometry.

Computed properties:
- Magnetization: 0.000 μB/atom
- Uncorrected energy: -4.14 eV per atom
- Density: 8.1 Mg/m³
- Crystal system: cubic

```
data_NaGePt
_cell_length_a 6.204
_cell_length_b 6.204
_cell_length_c 6.204
_cell_angle_alpha 90.00
_cell_angle_beta 90.00
_cell_angle_gamma 90.00
_symmetry_space_group_name_H-M 'F -4 3 m'
_symmetry_Int_Tables_number 216
_symmetry_space_group_name_Hall 'F -4 2 3'
loop_
_atom_site_label
_atom_site_type_symbol
_atom_site_fract_x
_atom_site_fract_y
_atom_site_fract_z
Na1 Na 0.000 0.000 0.000
Ge1 Ge 0.000 0.000 0.500
Pt1 Pt 0.250 0.250 0.750
```

(2)
The following is a DFT calculation (PBE-GGA) of crystalline Tm4CdGeC2 at its relaxed geometry.

Computed properties:
- Magnetization: 0.119 μB/atom
- Uncorrected energy: -5.67 eV per atom
- Density: 8.8 Mg/m³
- Crystal system: hexagonal

```
data_Tm4CdGeC2
_cell_length_a 3.5435
_cell_length_b 3.5435
_cell_length_c 15.3032
_cell_angle_alpha 90.00
_cell_angle_beta 90.00
_cell_angle_gamma 120.00
_symmetry_space_group_name_H-M 'P -6 m 2'
_symmetry_Int_Tables_number 187
_symmetry_space_group_name_Hall 'P -6 2'
loop_
_atom_site_label
_atom_site_type_symbol
_atom_site_fract_x
_atom_site_fract_y
_atom_site_fract_z
Tm1 Tm 0.0000 0.0000 0.1490
Tm2 Tm 0.3333 0.6667 0.3217
Cd1 Cd 0.0000 0.0000 0.5000
Ge1 Ge 0.3333 0.6667 0.0000
C1 C 0.6667 0.3333 0.2390
```

(3)
The following is a DFT calculation (PBE-GGA) of crystalline Co7W6 at its relaxed geometry.

Computed properties:
- Excess energy over the best structure of this formula in the dataset: 0.0 kJ/mol of atoms
- Magnetization: 0.139 μB/atom
- Uncorrected energy: -9.85 eV per atom
- Density: 15.2 Mg/m³
- Crystal system: trigonal

```
data_Co7W6
_cell_length_a 4.7355
_cell_length_b 4.7355
_cell_length_c 25.5657
_cell_angle_alpha 90.00
_cell_angle_beta 90.00
_cell_angle_gamma 120.00
_symmetry_space_group_name_H-M 'R -3 m'
_symmetry_Int_Tables_number 166
_symmetry_space_group_name_Hall '-R 3 2"'
loop_
_atom_site_label
_atom_site_type_symbol
_atom_site_fract_x
_atom_site_fract_y
_atom_site_fract_z
Co1 Co 0.0000 0.0000 0.0000
Co2 Co 0.0007 0.5004 0.4102
W1 W 0.0000 0.0000 0.1656
W2 W 0.0000 0.0000 0.3464
W3 W 0.0000 0.0000 0.4501
```